(1)
Computed, not measured: an optimized crystal structure of HoEr2Be at the PBE level of DFT.

Calculated values
Relative energy among the computed polymorphs   0.0 kJ per mole of atoms
ρ   8437 kg/m³
Symmetry   No. 123
Total DFT energy (no corrections)   -4.30 eV per atom

a = 3.4331 Å, b = 3.4331 Å, c = 8.4905 Å
α = 90.00°, β = 90.00°, γ = 90.00°
Closest atoms and distances in Å follow each position.
Positions (direct):
Be1 0.5000 0.5000 0.0000  8 Er 2.93
Ho1 0.5000 0.5000 0.5000  4 Ho 3.43, 8 Er 3.56
Er1 0.0000 0.0000 0.8063  4 Be 2.93
Er2 0.0000 0.0000 0.1937  4 Be 2.93

***

(2)
Computed, not measured: an optimized crystal structure of CsBa2CeI8 at the PBE level of DFT.

Calculated values
Formation energy without anion corrections   -1.56 eV/atom
ρ   3863 kg/m³
Symmetry   No. 2
Total DFT energy (no corrections)   -3.48 eV per atom

a = 8.0462 Å, b = 7.7905 Å, c = 10.7172 Å
α = 89.94°, β = 89.99°, γ = 90.08°
Closest atoms and distances in Å follow each position.
Positions (direct):
Cs1 0.0000 0.0000 0.5000  6 I 3.72-3.85
Ba1 0.5000 0.4998 0.7516  6 I 3.41-3.61
Ba2 0.5000 0.5002 0.2484  6 I 3.41-3.61
Ce1 0.0000 0.0000 0.0000  6 I 3.14-3.24
I1 0.1501 0.7609 0.2069  1 Ce 3.14, 1 Ba 3.50
I2 0.6737 0.7564 0.9998  1 Ce 3.24, 2 Ba 3.61
I3 0.8492 0.2386 0.2066  1 Ce 3.14, 1 Ba 3.50
I4 0.8499 0.2391 0.7931  1 Ce 3.14, 1 Ba 3.50
I5 0.3263 0.2436 0.0002  1 Ce 3.24, 2 Ba 3.61
I6 0.1508 0.7614 0.7934  1 Ce 3.14, 1 Ba 3.50
I7 0.6103 0.7434 0.4999  2 Ba 3.41, 1 Cs 3.72
I8 0.3897 0.2566 0.5001  2 Ba 3.41, 1 Cs 3.72

***

(3)
Computed, not measured: an optimized crystal structure of Sm14MgSc at the PBE level of DFT.

Calculated values
ρ   6955 kg/m³
Symmetry   No. 38
Total DFT energy (no corrections)   -4.61 eV per atom

a = 7.1511 Å, b = 7.1511 Å, c = 10.1506 Å
α = 90.00°, β = 90.00°, γ = 90.00°
Closest atoms and distances in Å follow each position.
Positions (direct):
Sm1 0.3748 0.6252 0.5000  12 Sm 3.57-3.61
Sm2 0.8750 0.1250 0.5000  12 Sm 3.57-3.64
Sm3 0.8742 0.6237 0.0000  8 Sm 3.55, 2 Mg 3.56-3.59, 2 Sc 3.57-3.58
Sm4 0.8758 0.6259 0.5000  12 Sm 3.57-3.62
Sm5 0.3763 0.1258 0.0000  8 Sm 3.55, 2 Mg 3.56-3.59, 2 Sc 3.57-3.58
Sm6 0.3741 0.1242 0.5000  12 Sm 3.57-3.62
Sm7 0.6232 0.8731 0.7548  1 Sc 3.53, 10 Sm 3.55-3.63, 1 Mg 3.56
Sm8 0.6232 0.8731 0.2452  1 Sc 3.53, 10 Sm 3.55-3.63, 1 Mg 3.56
Sm9 0.1269 0.3768 0.7548  1 Sc 3.53, 10 Sm 3.55-3.63, 1 Mg 3.56
Sm10 0.1269 0.3768 0.2452  1 Sc 3.53, 10 Sm 3.55-3.63, 1 Mg 3.56
Sm11 0.1269 0.8731 0.7559  1 Sc 3.53, 10 Sm 3.55-3.64, 1 Mg 3.56
Sm12 0.1269 0.8731 0.2441  1 Sc 3.53, 10 Sm 3.55-3.64, 1 Mg 3.56
Sm13 0.6231 0.3769 0.7539  1 Sc 3.54, 10 Sm 3.55-3.62, 1 Mg 3.56
Sm14 0.6231 0.3769 0.2461  1 Sc 3.54, 10 Sm 3.55-3.62, 1 Mg 3.56
Mg1 0.8741 0.1259 0.0000  12 Sm 3.56-3.59
Sc1 0.3754 0.6246 0.0000  12 Sm 3.53-3.58

***

(4)
Computed, not measured: an optimized crystal structure of SrThZn3 at the PBE level of DFT.

Calculated values
ρ   6766 kg/m³
Symmetry   No. 63
Total DFT energy (no corrections)   -2.79 eV per atom

a = 3.7641 Å, b = 4.5592 Å, c = 14.8747 Å
α = 90.00°, β = 97.27°, γ = 90.00°
Closest atoms and distances in Å follow each position.
Positions (direct):
Sr1 0.2006 0.7500 0.4013  6 Zn 3.26-3.28
Sr2 0.7994 0.2500 0.5987  6 Zn 3.26-3.28
Th1 0.9348 0.7500 0.8696  12 Zn 3.19-3.24
Th2 0.0652 0.2500 0.1304  12 Zn 3.19-3.24
Zn1 0.6097 0.7500 0.2194  3 Zn 2.58-2.64
Zn2 0.3903 0.2500 0.7806  3 Zn 2.58-2.64
Zn3 0.5222 0.7500 0.0444  3 Zn 2.58-2.63
Zn4 0.4778 0.2500 0.9556  3 Zn 2.58-2.63
Zn5 0.6545 0.2500 0.3089  2 Zn 2.64
Zn6 0.3455 0.7500 0.6911  2 Zn 2.64

***

(5)
Computed, not measured: an optimized crystal structure of Cr2Si2N at the PBE level of DFT.

Calculated values
Formation energy without anion corrections   1.01 eV/atom
Relative energy among the computed polymorphs   37.7 kJ per mole of atoms
ρ   4678 kg/m³
Symmetry   No. 139
Total DFT energy (no corrections)   -6.68 eV per atom

a = 3.1259 Å, b = 3.1259 Å, c = 6.7026 Å
α = 76.52°, β = 76.52°, γ = 90.00°
Closest atoms and distances in Å follow each position.
Positions (direct):
Cr1 0.7500 0.2500 0.5000  4 Cr 2.21
Cr2 0.2500 0.7500 0.5000  4 Cr 2.21
Si1 0.4087 0.4087 0.1827  1 Si 2.31, 4 N 2.49, 4 Cr 2.54
Si2 0.5913 0.5913 0.8173  1 Si 2.31, 4 N 2.49, 4 Cr 2.54
N1 0.0000 0.0000 0.0000  8 Si 2.49

***

(6)
Computed, not measured: an optimized crystal structure of YAgF2 at the PBE level of DFT.

Calculated values
Formation energy without anion corrections   -1.88 eV/atom
Relative energy among the computed polymorphs   34.7 kJ per mole of atoms
ρ   6237 kg/m³
Symmetry   No. 225
Total DFT energy (no corrections)   -5.14 eV per atom

a = 4.4546 Å, b = 4.4546 Å, c = 4.4546 Å
α = 60.00°, β = 60.00°, γ = 60.00°
Closest atoms and distances in Å follow each position.
Positions (direct):
Y1 0.0000 0.0000 0.0000  8 F 2.73
Ag1 0.5000 0.5000 0.5000  8 F 2.73
F1 0.2500 0.2500 0.2500  4 Ag 2.73, 4 Y 2.73
F2 0.7500 0.7500 0.7500  4 Y 2.73, 4 Ag 2.73

***

(7)
Computed, not measured: an optimized crystal structure of LiAc2PaSe6 at the PBE level of DFT.

Calculated values
Formation energy without anion corrections   -1.71 eV/atom
ρ   6776 kg/m³
Symmetry   No. 14
Total DFT energy (no corrections)   -5.77 eV per atom

a = 7.0664 Å, b = 7.8886 Å, c = 10.2553 Å
α = 90.00°, β = 91.77°, γ = 90.00°
Closest atoms and distances in Å follow each position.
Positions (direct):
Li1 0.5000 0.0000 0.5000  6 Se 2.66-2.85
Li2 0.0000 0.5000 0.0000  6 Se 2.66-2.85
Ac1 0.0356 0.9018 0.2479  7 Se 3.12-3.49
Ac2 0.5356 0.5982 0.7479  7 Se 3.12-3.49
Ac3 0.9644 0.0982 0.7521  7 Se 3.12-3.49
Ac4 0.4644 0.4018 0.2521  7 Se 3.12-3.49
Pa1 0.5000 0.0000 0.0000  6 Se 2.75-2.80
Pa2 0.0000 0.5000 0.5000  6 Se 2.75-2.80
Se1 0.3258 0.6920 0.0577  1 Pa 2.80, 1 Li 2.80
Se2 0.8258 0.8080 0.5577  1 Pa 2.80, 1 Li 2.80
Se3 0.6742 0.3080 0.9423  1 Pa 2.80, 1 Li 2.80
Se4 0.1742 0.1920 0.4423  1 Pa 2.80, 1 Li 2.80
Se5 0.3220 0.6829 0.4439  1 Pa 2.77, 1 Li 2.85
Se6 0.8220 0.8171 0.9439  1 Pa 2.77, 1 Li 2.85
Se7 0.6780 0.3171 0.5561  1 Pa 2.77, 1 Li 2.85
Se8 0.1780 0.1829 0.0561  1 Pa 2.77, 1 Li 2.85
Se9 0.8819 0.5307 0.2429  1 Li 2.66, 1 Pa 2.75
Se10 0.3819 0.9693 0.7429  1 Li 2.66, 1 Pa 2.75
Se11 0.1181 0.4693 0.7571  1 Li 2.66, 1 Pa 2.75
Se12 0.6181 0.0307 0.2571  1 Li 2.66, 1 Pa 2.75

***

(8)
Computed, not measured: an optimized crystal structure of SbRuPb2 at the PBE level of DFT.

Calculated values
Formation energy without anion corrections   0.26 eV/atom
ρ   10384 kg/m³
Symmetry   No. 6
Total DFT energy (no corrections)   -4.94 eV per atom

a = 3.6743 Å, b = 3.5191 Å, c = 8.0365 Å
α = 78.70°, β = 90.00°, γ = 90.00°
Closest atoms and distances in Å follow each position.
Positions (direct):
Pb1 0.0000 0.9246 0.0142  8 Pb 3.45-3.67, 4 Sb 3.49-3.55, 1 Ru 3.59
Pb2 0.5000 0.2839 0.3116  4 Ru 2.83-2.84
Ru1 0.0000 0.7111 0.4691  2 Sb 2.62, 4 Pb 2.83-2.84
Sb1 0.5000 0.5805 0.7050  2 Ru 2.62

***

(9)
Computed, not measured: an optimized crystal structure of Rb3TlSe3 at the PBE level of DFT.

Calculated values
Formation energy without anion corrections   -0.91 eV/atom
Relative energy among the computed polymorphs   0.0 kJ per mole of atoms
ρ   4132 kg/m³
Symmetry   No. 14
Total DFT energy (no corrections)   -3.15 eV per atom

a = 8.5590 Å, b = 9.7674 Å, c = 13.5253 Å
α = 97.35°, β = 90.00°, γ = 90.00°
Closest atoms and distances in Å follow each position.
Positions (direct):
Rb1 0.8310 0.9198 0.8757  5 Se 3.42-3.71
Rb2 0.6690 0.9198 0.3757  5 Se 3.42-3.71
Rb3 0.2255 0.6899 0.7109  5 Se 3.36-3.71, 1 Tl 3.71
Rb4 0.7295 0.6030 0.5783  5 Se 3.53-3.74
Rb5 0.2745 0.6899 0.2109  5 Se 3.36-3.71, 1 Tl 3.71
Rb6 0.7705 0.6030 0.0783  5 Se 3.53-3.74
Rb7 0.2295 0.3970 0.9217  5 Se 3.53-3.74
Rb8 0.7255 0.3101 0.7891  5 Se 3.36-3.71, 1 Tl 3.71
Rb9 0.2705 0.3970 0.4217  5 Se 3.53-3.74
Rb10 0.7745 0.3101 0.2891  5 Se 3.36-3.71, 1 Tl 3.71
Rb11 0.3310 0.0802 0.6243  5 Se 3.42-3.71
Rb12 0.1690 0.0802 0.1243  5 Se 3.42-3.71
Tl1 0.4158 0.8219 0.9510  4 Se 2.64-2.81
Tl2 0.0842 0.8219 0.4510  4 Se 2.64-2.81
Tl3 0.9158 0.1781 0.5490  4 Se 2.64-2.81
Tl4 0.5842 0.1781 0.0490  4 Se 2.64-2.81
Se1 0.9352 0.9242 0.6252  2 Tl 2.75-2.81
Se2 0.5648 0.9242 0.1252  2 Tl 2.75-2.81
Se3 0.1236 0.7468 0.9800  1 Tl 2.65
Se4 0.3764 0.7468 0.4800  1 Tl 2.65
Se5 0.5763 0.6296 0.8388  1 Tl 2.64
Se6 0.9237 0.6296 0.3388  1 Tl 2.64
Se7 0.0763 0.3704 0.6612  1 Tl 2.64
Se8 0.4237 0.3704 0.1612  1 Tl 2.64
Se9 0.6236 0.2532 0.5200  1 Tl 2.65
Se10 0.8764 0.2532 0.0200  1 Tl 2.65
Se11 0.4352 0.0758 0.8748  2 Tl 2.75-2.81
Se12 0.0648 0.0758 0.3748  2 Tl 2.75-2.81

***

(10)
Computed, not measured: an optimized crystal structure of LaIn2As at the PBE level of DFT.

Calculated values
ρ   6032 kg/m³
Symmetry   No. 160
Total DFT energy (no corrections)   -4.13 eV per atom

a = 8.4558 Å, b = 8.4558 Å, c = 8.4558 Å
α = 28.55°, β = 28.55°, γ = 28.55°
Closest atoms and distances in Å follow each position.
Positions (direct):
As1 0.7472 0.7472 0.7472  3 In 2.93, 3 La 2.94
In1 0.0119 0.0119 0.0119  3 As 2.93, 3 In 3.22
In2 0.2573 0.2573 0.2573  3 In 3.22, 3 La 3.55
La1 0.4835 0.4835 0.4835  3 As 2.94

***

(11)
Computed, not measured: an optimized crystal structure of VCo at the PBE level of DFT.

Calculated values
ρ   4350 kg/m³
Symmetry   No. 223
Total DFT energy (no corrections)   -6.73 eV per atom

a = 6.3136 Å, b = 6.3136 Å, c = 6.3136 Å
α = 90.00°, β = 90.00°, γ = 90.00°
Closest atoms and distances in Å follow each position.
Positions (direct):
V1 0.2500 0.0000 0.5000  4 Co 2.23
V2 0.7500 0.0000 0.5000  4 Co 2.23
V3 0.0000 0.5000 0.2500  4 Co 2.23
V4 0.0000 0.5000 0.7500  4 Co 2.23
V5 0.5000 0.2500 0.0000  4 Co 2.23
V6 0.5000 0.7500 0.0000  4 Co 2.23
Co1 0.2500 0.5000 0.0000  4 V 2.23
Co2 0.7500 0.5000 0.0000  4 V 2.23
Co3 0.5000 0.0000 0.2500  4 V 2.23
Co4 0.5000 0.0000 0.7500  4 V 2.23
Co5 0.0000 0.2500 0.5000  4 V 2.23
Co6 0.0000 0.7500 0.5000  4 V 2.23

***

(12)
Computed, not measured: an optimized crystal structure of Cs2BeCl4 at the PBE level of DFT.

Calculated values
Formation energy without anion corrections   -1.58 eV/atom
Relative energy among the computed polymorphs   24.7 kJ per mole of atoms
ρ   3128 kg/m³
Symmetry   No. 139
Total DFT energy (no corrections)   -3.41 eV per atom

a = 5.3133 Å, b = 5.3133 Å, c = 8.6878 Å
α = 72.19°, β = 72.19°, γ = 90.00°
Closest atoms and distances in Å follow each position.
Positions (direct):
Cs1 0.6381 0.6381 0.7239  9 Cl 3.43-3.76
Cs2 0.3619 0.3619 0.2761  9 Cl 3.43-3.76
Be1 0.0000 0.0000 0.0000  2 Cl 2.03
Cl1 0.8703 0.8703 0.2594  1 Be 2.03
Cl2 0.1297 0.1297 0.7406  1 Be 2.03
Cl3 0.0000 0.5000 0.0000  2 Be 2.66
Cl4 0.5000 0.0000 0.0000  2 Be 2.66

***

Number 1: magnetization 0.000 μB/atom. Number 2: magnetization 0.083 μB/atom. Number 3: magnetization 0.000 μB/atom. Number 4: magnetization 0.000 μB/atom. Number 5: magnetization 0.000 μB/atom. Number 6: magnetization 0.000 μB/atom. Number 7: magnetization 0.000 μB/atom. Number 8: magnetization 0.000 μB/atom. Number 9: magnetization 0.000 μB/atom. Number 10: magnetization 0.000 μB/atom. Number 11: magnetization 0.411 μB/atom. Number 12: magnetization 0.000 μB/atom.